[1]
An optimized crystal structure of K2TlTe2, computed with PBE.

Geometry as POSCAR:
```
K2TlTe2
1.0
-6.477 4.878 5.987
5.660 -2.317 8.011
1.882 3.048 -0.448
Tl Te K
2 4 4
direct
0.000 0.000 0.000
0.500 0.500 0.000
0.175 0.675 0.500
0.675 0.825 0.500
0.825 0.325 0.500
0.325 0.175 0.500
0.377 0.877 0.000
0.877 0.623 0.000
0.623 0.123 0.000
0.123 0.377 0.000
```

## Properties
energy above the most stable polymorph in this dataset	96	meV/atom

=====

[2]
An optimized crystal structure of KTlTe2, computed with PBE.

Geometry as POSCAR:
```
KTlTe2
1.0
8.319 -0.021 2.049
-0.211 8.316 2.049
1.241 1.269 19.836
K Tl Te
8 8 16
direct
0.604 0.110 0.882
0.890 0.396 0.618
0.396 0.890 0.118
0.110 0.604 0.382
0.397 0.243 0.653
0.757 0.603 0.847
0.603 0.757 0.347
0.243 0.397 0.153
0.212 0.652 0.683
0.348 0.788 0.817
0.788 0.348 0.317
0.652 0.212 0.183
0.661 0.816 0.600
0.184 0.339 0.900
0.339 0.184 0.400
0.816 0.661 0.100
0.390 0.682 0.974
0.318 0.610 0.526
0.610 0.318 0.026
0.682 0.390 0.474
0.986 0.703 0.220
0.297 0.014 0.280
0.014 0.297 0.780
0.703 0.986 0.720
0.051 0.820 0.515
0.180 0.949 0.985
0.949 0.180 0.485
0.820 0.051 0.015
0.994 0.006 0.250
0.006 0.994 0.750
0.485 0.515 0.250
0.515 0.485 0.750
```

=====

[3]
An optimized crystal structure of KTlTe, computed with PBE.

Geometry as POSCAR:
```
KTlTe
1.0
-3.308 -4.619 0.668
2.371 -5.198 0.298
0.033 -2.849 4.961
Tl Te K
1 1 1
direct
0.000 0.000 0.000
0.750 0.750 0.750
0.500 0.500 0.500
```

## Properties
energy above the most stable polymorph in this dataset	29	meV/atom

=====

Number 1: raw total energy -2.7679 eV/atom. Number 2: raw total energy -2.9101 eV/atom. Number 3: raw total energy -2.8444 eV/atom.